# Fe2Pd3Pt (PBE, optimized geometry)
# Relative energy among the computed polymorphs (meV/atom): 0
# Density of states at the Fermi level (states/eV/f.u.): 4.02
# Formation energy (eV/atom): -0.14
data_Fe2Pd3Pt
_cell_length_a 2.758
_cell_length_b 14.054
_cell_length_c 8.986
_cell_angle_alpha 90.00
_cell_angle_beta 90.00
_cell_angle_gamma 90.00
_symmetry_space_group_name_H-M 'C m c m'
_symmetry_Int_Tables_number 63
_symmetry_space_group_name_Hall '-C 2c 2'
loop_
_atom_site_label
_atom_site_type_symbol
_atom_site_fract_x
_atom_site_fract_y
_atom_site_fract_z
Fe1 Fe 0.000 0.000 0.000
Fe2 Fe 0.000 0.214 0.250
Pd1 Pd 0.000 0.124 0.750
Pd2 Pd 0.000 0.335 0.506
Pt1 Pt 0.000 0.452 0.750